[1]
Mn3InF: optimized geometry, PBE+U.

Lattice parameters (Å, degrees): 5.322 5.322 5.322 90.00 90.00 90.00
Space group Pm-3m (No. 221)
Asymmetric unit:
Mn: 0.000 0.000 0.500 (multiplicity 3)
In: 0.000 0.000 0.000 (multiplicity 1)
F: 0.500 0.500 0.500 (multiplicity 1)

* E: -24.83 eV/cell
* mass density: 3.3 Mg/m³

[2]
KLiCoO2: optimized geometry, PBE+U.

Lattice parameters (Å, degrees): 4.072 4.072 3.785 90.00 90.00 90.00
Space group P4/mmm (No. 123)
Asymmetric unit:
K: 0.000 0.000 0.000 (multiplicity 1)
Li: 0.000 0.000 0.500 (multiplicity 1)
Co: 0.500 0.500 0.000 (multiplicity 1)
O: 0.000 0.500 0.500 (multiplicity 2)

* E: -18.03 eV/cell
* mass density: 3.6 Mg/m³

| no. | DOS(E_F) (states/eV/f.u.) |
| --- | --- |
| 1 | 0.12 |
| 2 | 0.40 |